(1)
A relaxed structure of Ce4TlI5, computed with PBE-GGA.

## Properties
Symmetry: No. 12
Final energy, eV per atom: -4.319
ρ, Mg/m³: 5.96
Size of the total moment, μB per cell: 5.46
Density of states at the Fermi level, states/eV per cell: 28.3

Lattice parameters (Å, degrees): 4.3677 9.3536 9.9615 100.48 102.66 90.00
Closest atoms and distances in Å follow each position.
Sites, in units of the cell vectors:
1 Ce 0.3342 0.9354 0.6684  1 Tl 3.17, 5 I 3.25-3.26
2 I 0.8328 0.1934 0.6656  4 Ce 3.25-3.26
3 I 0.1701 0.3246 0.3402  3 Ce 3.20-3.26
4 I 0.8299 0.6754 0.6598  3 Ce 3.20-3.26
5 Ce 0.9973 0.7606 0.9946  2 Tl 3.12, 4 I 3.20-3.28
6 I 0.5000 0.5000 0.0000  4 Ce 3.28
7 Tl 0.5000 0.0000 0.0000  6 Ce 3.12-3.17
8 Ce 0.0027 0.2394 0.0054  2 Tl 3.12, 4 I 3.20-3.28
9 I 0.1672 0.8066 0.3344  4 Ce 3.25-3.26
10 Ce 0.6658 0.0646 0.3316  1 Tl 3.17, 5 I 3.25-3.26

---

(2)
A relaxed structure of Ce7TlI12, computed with PBE-GGA.

## Properties
Symmetry: No. 148
Final energy, eV per atom: -4.232
ρ, Mg/m³: 5.37
Size of the total moment, μB per cell: 10.48
Density of states at the Fermi level, states/eV per cell: 56.3

Lattice parameters (Å, degrees): 10.1517 10.1517 10.1517 108.32 108.32 108.32
Closest atoms and distances in Å follow each position.
Sites, in units of the cell vectors:
1 Ce 0.1233 0.0516 0.3444  1 Tl 3.12, 5 I 3.21-3.28
2 Tl 0.0000 0.0000 0.0000  6 Ce 3.12
3 I 0.0744 0.6941 0.2287  3 Ce 3.24-3.28
4 Ce 0.8767 0.9484 0.6556  1 Tl 3.12, 5 I 3.21-3.28
5 Ce 0.9484 0.6556 0.8767  1 Tl 3.12, 5 I 3.21-3.28
6 I 0.6941 0.2287 0.0744  3 Ce 3.24-3.28
7 Ce 0.6556 0.8767 0.9484  1 Tl 3.12, 5 I 3.21-3.28
8 I 0.3982 0.4784 0.1555  3 Ce 3.21-3.23
9 Ce 0.0516 0.3444 0.1233  1 Tl 3.12, 5 I 3.21-3.28
10 I 0.6018 0.5216 0.8445  3 Ce 3.21-3.23
11 Ce 0.5000 0.5000 0.5000  6 I 3.23
12 I 0.7713 0.9256 0.3059  3 Ce 3.24-3.28
13 I 0.4784 0.1555 0.3982  3 Ce 3.21-3.23
14 Ce 0.3444 0.1233 0.0516  1 Tl 3.12, 5 I 3.21-3.28
15 I 0.8445 0.6018 0.5216  3 Ce 3.21-3.23
16 I 0.2287 0.0744 0.6941  3 Ce 3.24-3.28
17 I 0.1555 0.3982 0.4784  3 Ce 3.21-3.23
18 I 0.5216 0.8445 0.6018  3 Ce 3.21-3.23
19 I 0.3059 0.7713 0.9256  3 Ce 3.24-3.28
20 I 0.9256 0.3059 0.7713  3 Ce 3.24-3.28

---

Volume? In order: 390.1; 837.8 Å³/cell.
Formation energy from raw total energies? In order: -0.93; -1.11 eV/atom.